Here is a relaxed Cd2In6Pb3 crystal from Alexandria via LeMat-Bulk. Energies are from GGA-PBE.

```
Cd2In6Pb3
1.0
-2.594 -2.195 -0.884
0.744 -3.071 -1.532
1.124 -14.202 24.988
Cd In Pb
2 6 3
Cartesian
-0.583 -8.159 8.022
-0.143 -11.309 14.550
-1.345 -8.871 5.055
0.620 -10.597 17.517
-0.903 -12.035 11.610
0.177 -7.434 10.961
-1.064 -4.720 0.894
0.338 -14.749 21.677
0.000 0.000 0.000
-0.447 -15.297 18.370
-0.279 -4.171 4.202
```

Properties
As for the energy relative to the elements: 0.026 eV per atom. Its space group is R-3m. The calculation puts the density of states at the Fermi level at 0.45 states/eV per atom. Its volume is 306 Å³ per cell. The calculated total energy comes out at -2.65 eV/atom.